# LiVF4

Crystalline LiVF4 at its relaxed geometry (GGA+U, Alexandria via LeMat-Bulk).

Results
ρ: 2.537 g/cm³
Crystal system: orthorhombic
ΔE to the lowest computed polymorph: 73.3 meV per atom
Magnetic moment: 2.0 μB/f.u.

Cell: 6.9884 8.0670 6.2179 Å, 90.00 90.00 90.00°
With the nearest neighbours (Å) after each atom.
Space group Cmcm (No. 63)
Unique sites:
Li 0.0000 0.1511 0.2500  4 F 1.82-2.04
V 0.0000 0.4782 0.7500  6 F 1.90-2.07
F 0.0000 0.3388 0.0301  2 V 2.01-2.07, 1 Li 2.04
F 0.2297 0.0437 0.2500  1 Li 1.82, 1 V 1.90